Material: CaSmSc2
Method: DFT, PBE
State: relaxed

Cell and atoms, written as extended XYZ:
```
4
Lattice="4.964 0.000 0.000 0.000 4.964 0.000 0.000 0.000 4.845" Properties=species:S:1:pos:R:3 pbc="T T T"
Ca 0.000 0.000 0.000
Sm 2.482 2.482 0.000
Sc 0.000 2.482 2.422
Sc 2.482 0.000 2.422
```

DFT formation energy = 202.5 meV/atom
space group = P4/mmm
ΔE to the lowest computed polymorph = 56 meV/atom


Material: TiP2NCl
Method: DFT, PBE
State: relaxed

Cell and atoms, written as extended XYZ:
```
5
Lattice="4.762 0.000 0.000 0.000 4.762 0.000 0.000 0.000 4.802" Properties=species:S:1:pos:R:3 pbc="T T T"
Ti 0.000 0.000 0.000
P 0.000 2.381 0.000
P 2.381 0.000 0.000
N 2.381 2.381 2.401
Cl 0.000 0.000 2.401
```

space group = P4/mmm
uncorrected formation energy = 0.98 eV/atom
ΔE to the lowest computed polymorph = 356 meV/atom


Material: Ac3Hg3Au2
Method: DFT, PBE
State: relaxed

Cell and atoms, written as extended XYZ:
```
16
Lattice="2.385 -5.837 0.000 2.385 5.837 0.000 0.000 0.000 17.111" Properties=species:S:1:pos:R:3 pbc="T T T"
Ac 2.385 4.665 10.219
Ac 2.385 4.665 15.447
Ac 2.385 1.724 12.833
Ac 2.385 -1.724 4.278
Ac 2.385 -4.665 1.664
Ac 2.385 -4.665 6.891
Hg 2.385 1.539 4.278
Hg 2.385 1.263 9.371
Hg 2.385 1.263 16.294
Hg 2.385 -1.263 0.816
Hg 2.385 -1.263 7.739
Hg 2.385 -1.539 12.833
Au 2.385 3.485 1.985
Au 2.385 3.485 6.570
Au 2.385 -3.485 10.541
Au 2.385 -3.485 15.125
```

DFT formation energy = -598.9 meV/atom
space group = Cmcm
ΔE to the lowest computed polymorph = 30 meV/atom


Material: Pr6SmEr
Method: DFT, PBE
State: relaxed

Cell and atoms, written as extended XYZ:
```
8
Lattice="3.697 -5.181 0.000 3.697 5.181 0.000 -3.684 0.000 7.359" Properties=species:S:1:pos:R:3 pbc="T T T"
Pr 0.011 2.590 5.490
Pr -1.834 0.000 7.345
Pr 3.700 2.590 1.868
Pr 0.011 -2.590 5.490
Pr 5.545 0.000 0.014
Pr 3.700 -2.590 1.868
Sm 1.855 0.000 3.679
Er -1.842 0.000 3.679
```

DFT formation energy = 16.5 meV/atom
space group = C2/m


Material: Ba2NaN
Method: DFT, PBE
State: relaxed

Cell and atoms, written as extended XYZ:
```
4
Lattice="2.011 1.161 10.595 -2.011 1.161 10.595 0.000 -2.322 10.595" Properties=species:S:1:pos:R:3 pbc="T T T"
Ba 0.000 0.000 0.000
Ba 0.000 0.000 7.563
Na 0.000 0.000 14.387
N 0.000 0.000 19.675
```

space group = R3m
uncorrected formation energy = -0.30 eV/atom


Material: Rb3La3PuS8
Method: DFT, PBE
State: relaxed

Cell and atoms, written as extended XYZ:
```
15
Lattice="4.256 2.457 7.779 -4.256 2.457 7.779 0.000 -4.914 7.779" Properties=species:S:1:pos:R:3 pbc="T T T"
Rb -2.128 -1.229 7.779
Rb -2.128 1.229 15.557
Rb 0.000 2.457 7.779
La -4.256 0.000 11.668
La -2.128 1.229 3.889
La 2.128 1.229 3.889
Pu 0.000 0.000 11.668
S 0.000 0.000 5.420
S -2.000 -1.155 13.110
S 0.000 -2.310 10.226
S -2.000 1.155 10.226
S 2.000 -1.155 13.110
S 0.000 2.310 13.110
S 2.000 1.155 10.226
S 0.000 0.000 17.916
```

space group = R-3m
uncorrected formation energy = -1.80 eV/atom


Material: YTmIn2Se4
Method: DFT, PBE
State: relaxed

Cell and atoms, written as extended XYZ:
```
8
Lattice="7.145 0.000 0.000 0.000 4.126 0.000 -2.380 0.000 7.746" Properties=species:S:1:pos:R:3 pbc="T T T"
Y 0.000 0.000 0.000
Tm 3.573 2.063 0.000
In -1.190 2.063 3.873
In 2.383 0.000 3.873
Se 1.215 2.063 1.610
Se 0.026 0.000 6.150
Se 4.740 0.000 1.596
Se 3.550 2.063 6.136
```

space group = P2/m
uncorrected formation energy = -1.30 eV/atom


Material: Dy3Er5Tm4
Method: DFT, PBE
State: relaxed

Cell and atoms, written as extended XYZ:
```
12
Lattice="7.910 -2.892 0.000 7.910 2.892 0.000 -4.092 0.000 8.182" Properties=species:S:1:pos:R:3 pbc="T T T"
Dy 0.000 0.000 0.000
Dy 1.461 0.000 6.291
Dy 10.266 0.000 1.891
Er -1.694 0.000 5.720
Er 1.156 0.000 3.161
Er 7.910 0.000 0.000
Er 10.571 0.000 5.021
Er 13.421 0.000 2.461
Tm 4.044 0.000 1.001
Tm 4.343 0.000 4.585
Tm 7.384 0.000 3.597
Tm 7.684 0.000 7.181
```

DFT formation energy = 256.3 meV/atom
space group = C2/m
ΔE to the lowest computed polymorph = 233 meV/atom


Material: Sb3TeBr
Method: DFT, PBE
State: relaxed

Cell and atoms, written as extended XYZ:
```
5
Lattice="5.775 0.000 0.000 0.000 5.775 0.000 0.000 0.000 5.775" Properties=species:S:1:pos:R:3 pbc="T T T"
Sb 0.000 0.000 2.887
Sb 0.000 2.887 0.000
Sb 2.887 0.000 0.000
Te 0.000 0.000 0.000
Br 2.887 2.887 2.887
```

space group = Pm-3m
uncorrected formation energy = 0.77 eV/atom
ΔE to the lowest computed polymorph = 0 meV/atom


Material: NaAcZrO4
Method: DFT, PBE
State: relaxed

Cell and atoms, written as extended XYZ:
```
7
Lattice="-2.038 2.038 6.609 2.038 -2.038 6.609 2.038 2.038 -6.609" Properties=species:S:1:pos:R:3 pbc="T T T"
Na 0.000 0.000 0.000
Ac 0.000 0.000 4.101
Zr 0.000 0.000 8.545
O 2.038 0.000 2.323
O 0.000 0.000 6.532
O 0.000 2.038 2.323
O 0.000 0.000 10.942
```

space group = I4mm
uncorrected formation energy = -2.95 eV/atom


Material: CaHo4Tl4
Method: DFT, PBE
State: relaxed

Cell and atoms, written as extended XYZ:
```
18
Lattice="9.799 0.000 0.000 0.000 9.799 0.000 0.000 0.000 6.189" Properties=species:S:1:pos:R:3 pbc="T T T"
Ca 2.450 2.450 1.547
Ca 7.350 7.350 4.642
Ho 0.819 6.368 0.871
Ho 1.468 8.981 3.966
Ho 3.432 5.718 3.966
Ho 4.081 8.331 0.871
Ho 5.718 1.468 5.318
Ho 6.368 4.081 2.223
Ho 8.331 0.819 2.223
Ho 8.981 3.432 5.318
Tl 0.335 6.048 3.995
Tl 1.148 9.465 0.900
Tl 3.752 5.234 0.900
Tl 4.565 8.651 3.995
Tl 5.234 1.148 2.195
Tl 6.048 4.565 5.289
Tl 8.651 0.335 5.289
Tl 9.465 3.752 2.195
```

DFT formation energy = -111.8 meV/atom
space group = P4_2/n


Material: Ac2Pr7Tm2
Method: DFT, PBE
State: relaxed

Cell and atoms, written as extended XYZ:
```
11
Lattice="5.801 -5.979 0.000 5.801 5.979 0.000 -2.503 0.000 5.867" Properties=species:S:1:pos:R:3 pbc="T T T"
Ac 0.315 0.000 1.830
Ac 8.784 0.000 4.037
Pr 2.957 2.897 1.846
Pr 0.912 0.000 5.452
Pr 6.142 2.897 4.021
Pr 4.549 0.000 2.933
Pr 2.957 -2.897 1.846
Pr 8.186 0.000 0.414
Pr 6.142 -2.897 4.021
Tm 5.801 2.565 0.000
Tm 5.801 -2.565 0.000
```

DFT formation energy = 126.3 meV/atom
space group = C2/m
ΔE to the lowest computed polymorph = 0 meV/atom


Material: Th5CdHg4
Method: DFT, PBE
State: relaxed

Cell and atoms, written as extended XYZ:
```
10
Lattice="3.777 0.000 0.000 0.000 3.777 0.000 0.000 0.000 19.746" Properties=species:S:1:pos:R:3 pbc="T T T"
Th 0.000 0.000 0.000
Th 0.000 0.000 3.944
Th 0.000 0.000 7.884
Th 0.000 0.000 11.862
Th 0.000 0.000 15.802
Cd 1.889 1.889 9.873
Hg 1.889 1.889 1.975
Hg 1.889 1.889 5.922
Hg 1.889 1.889 13.824
Hg 1.889 1.889 17.772
```

DFT formation energy = -162.6 meV/atom
space group = P4/mmm


Number 1: theoretical density 3.90 g/cm³. Number 2: theoretical density 2.43 g/cm³. Number 3: theoretical density 11.69 g/cm³. Number 4: theoretical density 6.85 g/cm³. Number 5: theoretical density 3.49 g/cm³. Number 6: theoretical density 3.99 g/cm³. Number 7: theoretical density 5.84 g/cm³. Number 8: theoretical density 8.87 g/cm³. Number 9: theoretical density 4.94 g/cm³. Number 10: theoretical density 6.13 g/cm³. Number 11: theoretical density 8.48 g/cm³. Number 12: theoretical density 7.26 g/cm³. Number 13: theoretical density 12.23 g/cm³.